# 1
The following is a DFT calculation (PBE) of a relaxed structure of Dy3Cu.

Cell: 4.9040 11.5417 7.5310 Å, 90.00 90.00 90.00°
With the nearest neighbours (Å) after each atom.
Space group Cmcm (No. 63)
Unique sites:
Dy (0.0000, 0.0441, 0.2500) x4  1 Cu 2.83
Dy (0.0000, 0.3524, 0.0315) x8  3 Cu 2.75-3.02
Cu (0.0000, 0.2008, 0.7500) x4  7 Dy 2.75-3.02

Output
**Formation energy**: -0.064 eV per atom
**Total energy**: -4.54 eV/atom
**Spin magnetization**: 0.00 Bohr magnetons per cell
**D(E_F)**: 1.1842 states/eV per atom
**Excess energy over the best structure of this formula in the dataset**: 0.033 eV/atom



# 2
The following is a DFT calculation (PBE) of a relaxed structure of Dy3Cu.

Cell: 3.6142 12.3221 9.4952 Å, 90.00 90.00 90.00°
With the nearest neighbours (Å) after each atom.
Space group Cmcm (No. 63)
Unique sites:
Dy (0.0000, 0.0654, 0.2500) x4  2 Cu 2.94
Dy (0.0000, 0.3652, 0.0604) x8  2 Cu 2.90
Cu (0.0000, 0.2463, 0.7500) x4  6 Dy 2.90-2.94

Output
**Formation energy**: -0.097 eV per atom
**Total energy**: -4.57 eV/atom
**Spin magnetization**: 0.00 Bohr magnetons per cell
**D(E_F)**: 1.2135 states/eV per atom
**Excess energy over the best structure of this formula in the dataset**: 0.000 eV/atom



# 3
The following is a DFT calculation (PBE) of a relaxed structure of Dy7Cu3.

Cell: 9.8302 9.8302 6.1640 Å, 90.00 90.00 120.00°
With the nearest neighbours (Å) after each atom.
Space group P6_3mc (No. 186)
Unique sites:
Dy (0.0759, 0.5379, 0.0000) x6  2 Cu 2.84
Dy (0.1280, 0.2559, 0.3017) x6  3 Cu 2.87-2.89
Dy (0.3333, 0.6667, 0.4913) x2  3 Cu 2.86
Cu (0.1901, 0.3802, 0.7347) x6  6 Dy 2.84-2.89

Output
**Formation energy**: -0.112 eV per atom
**Total energy**: -4.56 eV/atom
**Spin magnetization**: 0.00 Bohr magnetons per cell
**D(E_F)**: 1.6102 states/eV per atom



# 4
The following is a DFT calculation (PBE) of a relaxed structure of Dy5Cu2.

Cell: 16.3911 6.5855 6.8313 Å, 90.00 95.57 90.00°
With the nearest neighbours (Å) after each atom.
Space group C2/c (No. 15)
Unique sites:
Dy (0.0000, 0.0556, 0.2500) x4  4 Cu 2.82-2.90
Dy (0.0947, 0.3871, 0.9423) x8  2 Cu 2.79-2.91
Dy (0.2197, 0.0624, 0.2963) x8  2 Cu 2.83-2.91
Cu (0.1098, 0.2073, 0.5588) x8  6 Dy 2.79-2.91

Output
**Formation energy**: -0.118 eV per atom
**Total energy**: -4.58 eV/atom
**Spin magnetization**: 0.00 Bohr magnetons per cell
**D(E_F)**: 1.0620 states/eV per atom



# 5
The following is a DFT calculation (PBE) of a relaxed structure of Dy2ErCu.

Cell: 3.4837 3.4837 8.6114 Å, 90.00 90.00 90.00°
With the nearest neighbours (Å) after each atom.
Space group P4/mmm (No. 123)
Unique sites:
Dy (0.0000, 0.0000, 0.1999) x2  4 Cu 3.01
Er (0.5000, 0.5000, 0.5000) x1  4 Er 3.48, 8 Dy 3.57
Cu (0.5000, 0.5000, 0.0000) x1  8 Dy 3.01

Output
**Formation energy**: -0.093 eV per atom
**Total energy**: -4.56 eV/atom
**Spin magnetization**: 0.00 Bohr magnetons per cell
**D(E_F)**: 1.3508 states/eV per atom
**Excess energy over the best structure of this formula in the dataset**: 0.017 eV/atom



# 6
The following is a DFT calculation (PBE) of a relaxed structure of Dy5ErCu6.

Cell: 4.9141 6.8677 7.7655 Å, 90.00 108.26 90.00°
With the nearest neighbours (Å) after each atom.
Space group P2/m (No. 10)
Unique sites:
Dy (0.0000, 0.0000, 0.0000) x1  8 Cu 2.98-3.00
Dy (0.3322, 0.0000, 0.6659) x2  8 Cu 2.99-3.01
Dy (0.3329, 0.5000, 0.6672) x2  8 Cu 2.99-3.02
Er (0.0000, 0.5000, 0.0000) x1  8 Cu 2.98-2.99
Cu (0.1675, 0.2508, 0.3304) x4  1 Er 2.98, 7 Dy 2.98-3.02
Cu (0.5000, 0.2518, 0.0000) x2  6 Dy 2.99-3.01, 2 Er 2.99

Output
**Formation energy**: -0.260 eV per atom
**Total energy**: -4.61 eV/atom
**Spin magnetization**: 0.00 Bohr magnetons per cell
**D(E_F)**: 0.4328 states/eV per atom



# 7
The following is a DFT calculation (PBE) of a relaxed structure of DyEr2Cu.

Cell: 3.6194 3.6194 28.8124 Å, 90.00 90.00 120.00°
With the nearest neighbours (Å) after each atom.
Space group R3m (No. 160, hexagonal axes)
Unique sites:
Dy (0.0000, 0.0000, 0.0000) x3  6 Er 3.53-3.57, 6 Dy 3.62
Er (0.0000, 0.0000, 0.2347) x3  3 Cu 2.84
Er (0.0000, 0.0000, 0.4336) x3  3 Cu 2.86
Cu (0.0000, 0.0000, 0.8348) x3  6 Er 2.84-2.86

Output
**Formation energy**: 0.020 eV per atom
**Total energy**: -4.44 eV/atom
**Spin magnetization**: 1.21 Bohr magnetons per cell
**D(E_F)**: 1.2663 states/eV per atom
**Excess energy over the best structure of this formula in the dataset**: 0.136 eV/atom



# 8
The following is a DFT calculation (PBE) of a relaxed structure of DyEr3Cu4.

Cell: 3.4309 4.8770 9.7545 Å, 90.00 90.00 90.00°
With the nearest neighbours (Å) after each atom.
Space group Pmmm (No. 47)
Unique sites:
Dy (0.0000, 0.0000, 0.0000) x1  8 Cu 2.98-3.00
Er (0.0000, 0.0000, 0.5000) x1  8 Cu 2.97-2.98
Er (0.0000, 0.5000, 0.2507) x2  8 Cu 2.98-2.99
Cu (0.5000, 0.0000, 0.2517) x2  6 Er 2.97-2.98, 2 Dy 3.00
Cu (0.5000, 0.5000, 0.0000) x1  4 Dy 2.98, 4 Er 2.99
Cu (0.5000, 0.5000, 0.5000) x1  8 Er 2.98

Output
**Formation energy**: -0.272 eV per atom
**Total energy**: -4.61 eV/atom
**Spin magnetization**: 0.00 Bohr magnetons per cell
**D(E_F)**: 0.5670 states/eV per atom



# 9
The following is a DFT calculation (PBE) of a relaxed structure of DyEr3Cu2.

Cell: 4.8669 8.6351 6.8420 Å, 90.00 90.00 90.00°
With the nearest neighbours (Å) after each atom.
Space group Pmc2_1 (No. 26)
Unique sites:
Dy (0.0000, 0.0757, 0.0000) x2  3 Cu 2.83-3.07
Er (0.0000, 0.3344, 0.6288) x2  4 Cu 2.76-3.01
Er (0.5000, 0.1669, 0.3412) x2  4 Cu 2.76-3.01
Er (0.5000, 0.4253, 0.9692) x2  3 Cu 2.82-3.07
Cu (0.0000, 0.3502, 0.2258) x2  6 Er 2.76-3.07, 1 Dy 2.83
Cu (0.5000, 0.1517, 0.7444) x2  5 Er 2.76-3.01, 2 Dy 3.07

Output
**Formation energy**: -0.177 eV per atom
**Total energy**: -4.59 eV/atom
**Spin magnetization**: 0.00 Bohr magnetons per cell
**D(E_F)**: 1.0192 states/eV per atom
**Excess energy over the best structure of this formula in the dataset**: 0.000 eV/atom



# 10
The following is a DFT calculation (PBE) of a relaxed structure of DyEr2Cu4.

Cell: 5.0726 5.0726 11.3936 Å, 90.00 90.00 90.00°
With the nearest neighbours (Å) after each atom.
Space group I4/mmm (No. 139)
Unique sites:
Dy (0.0000, 0.0000, 0.0000) x2  8 Cu 2.88
Er (0.0000, 0.0000, 0.2859) x4  4 Cu 2.75
Cu (0.0000, 0.5000, 0.1205) x8  2 Cu 2.75-2.95, 2 Er 2.75, 2 Dy 2.88

Output
**Formation energy**: -0.020 eV per atom
**Total energy**: -4.32 eV/atom
**Spin magnetization**: 0.00 Bohr magnetons per cell
**D(E_F)**: 0.8273 states/eV per atom



# 11
The following is a DFT calculation (PBE) of a relaxed structure of Dy2ErCu2.

Cell: 11.4270 4.6438 9.9514 Å, 90.00 119.15 90.00°
With the nearest neighbours (Å) after each atom.
Space group C2/m (No. 12)
Unique sites:
Dy (0.0379, 0.0000, 0.1921) x4  4 Cu 2.94-3.14
Dy (0.1811, 0.0000, 0.5902) x4  4 Cu 2.84-3.04
Er (0.1897, 0.5000, 0.8518) x4  4 Cu 2.72-2.99
Cu (0.0548, 0.5000, 0.4139) x4  1 Cu 2.57, 1 Er 2.76, 2 Dy 2.84
Cu (0.1249, 0.5000, 0.0810) x4  1 Cu 2.50, 1 Er 2.72

Output
**Formation energy**: -0.148 eV per atom
**Total energy**: -4.54 eV/atom
**Spin magnetization**: 0.00 Bohr magnetons per cell
**D(E_F)**: 0.8381 states/eV per atom
**Excess energy over the best structure of this formula in the dataset**: 0.025 eV/atom



# 12
The following is a DFT calculation (PBE) of a relaxed structure of DyEr2Cu.

Cell: 3.4556 3.4556 8.6394 Å, 90.00 90.00 90.00°
With the nearest neighbours (Å) after each atom.
Space group P4/mmm (No. 123)
Unique sites:
Dy (0.0000, 0.0000, 0.0000) x1  4 Dy 3.46, 8 Er 3.58
Er (0.5000, 0.5000, 0.3025) x2  4 Cu 2.98
Cu (0.0000, 0.0000, 0.5000) x1  8 Er 2.98

Output
**Formation energy**: -0.107 eV per atom
**Total energy**: -4.56 eV/atom
**Spin magnetization**: 0.00 Bohr magnetons per cell
**D(E_F)**: 1.2796 states/eV per atom
**Excess energy over the best structure of this formula in the dataset**: 0.008 eV/atom



# 13
The following is a DFT calculation (PBE) of a relaxed structure of DyEr4Cu5.

Cell: 3.4219 3.4219 17.3874 Å, 90.00 90.00 90.00°
With the nearest neighbours (Å) after each atom.
Space group P4/mmm (No. 123)
Unique sites:
Dy (0.0000, 0.0000, 0.0000) x1  8 Cu 3.00
Er (0.0000, 0.0000, 0.2011) x2  8 Cu 2.97-2.98
Er (0.0000, 0.0000, 0.4003) x2  8 Cu 2.98
Cu (0.5000, 0.5000, 0.1023) x2  4 Er 2.97, 4 Dy 3.00
Cu (0.5000, 0.5000, 0.3007) x2  8 Er 2.98
Cu (0.5000, 0.5000, 0.5000) x1  8 Er 2.98

Output
**Formation energy**: -0.277 eV per atom
**Total energy**: -4.61 eV/atom
**Spin magnetization**: 0.00 Bohr magnetons per cell
**D(E_F)**: 0.3928 states/eV per atom



# 14
The following is a DFT calculation (PBE) of a relaxed structure of DyEr5Cu6.

Cell: 4.8809 6.8298 7.7149 Å, 90.00 108.30 90.00°
With the nearest neighbours (Å) after each atom.
Space group P2/m (No. 10)
Unique sites:
Dy (0.0000, 0.0000, 0.0000) x1  8 Cu 2.99-3.00
Er (0.0000, 0.5000, 0.0000) x1  8 Cu 2.97-2.99
Er (0.3337, 0.0000, 0.6662) x2  8 Cu 2.96-2.99
Er (0.3343, 0.5000, 0.6673) x2  8 Cu 2.96-2.98
Cu (0.1660, 0.2507, 0.3360) x4  7 Er 2.96-2.99, 1 Dy 3.00
Cu (0.5000, 0.2520, 0.0000) x2  6 Er 2.97-2.99, 2 Dy 2.99

Output
**Formation energy**: -0.277 eV per atom
**Total energy**: -4.61 eV/atom
**Spin magnetization**: 0.00 Bohr magnetons per cell
**D(E_F)**: 0.4359 states/eV per atom



# 15
The following is a DFT calculation (PBE) of a relaxed structure of DyEr3Cu2.

Cell: 6.7412 13.3284 7.1014 Å, 90.00 90.00 90.00°
With the nearest neighbours (Å) after each atom.
Space group Ibam (No. 72)
Unique sites:
Dy (0.0000, 0.0000, 0.0000) x4  2 Cu 2.73
Er (0.0000, 0.2346, 0.2500) x8  4 Cu 2.80-2.93
Er (0.0000, 0.5000, 0.2500) x4  4 Cu 2.95
Cu (0.2079, 0.3582, 0.0000) x8  1 Dy 2.73, 6 Er 2.80-2.95

Output
**Formation energy**: 0.004 eV per atom
**Total energy**: -4.41 eV/atom
**Spin magnetization**: 0.00 Bohr magnetons per cell
**D(E_F)**: 1.1493 states/eV per atom
**Excess energy over the best structure of this formula in the dataset**: 0.182 eV/atom



# 16
The following is a DFT calculation (PBE) of a relaxed structure of Dy5ErCu4.

Cell: 3.4717 3.4717 18.9473 Å, 90.00 90.00 90.00°
With the nearest neighbours (Å) after each atom.
Space group P4/mmm (No. 123)
Unique sites:
Dy (0.0000, 0.0000, 0.0000) x1  8 Cu 3.01
Dy (0.0000, 0.0000, 0.1838) x2  8 Cu 3.00-3.01
Dy (0.0000, 0.0000, 0.3654) x2  4 Cu 3.00
Er (0.5000, 0.5000, 0.5000) x1  4 Er 3.47, 8 Dy 3.54
Cu (0.5000, 0.5000, 0.0916) x2  8 Dy 3.01
Cu (0.5000, 0.5000, 0.2747) x2  8 Dy 3.00

Output
**Formation energy**: -0.193 eV per atom
**Total energy**: -4.59 eV/atom
**Spin magnetization**: 0.00 Bohr magnetons per cell
**D(E_F)**: 0.7377 states/eV per atom



# 17
The following is a DFT calculation (PBE) of a relaxed structure of Dy3Er2Cu2.

Cell: 12.3746 3.6075 8.9479 Å, 90.00 116.45 90.00°
With the nearest neighbours (Å) after each atom.
Space group C2/m (No. 12)
Unique sites:
Dy (0.0000, 0.0000, 0.0000) x2  4 Cu 2.84
Dy (0.1137, 0.0000, 0.4430) x4  3 Cu 2.96
Er (0.1553, 0.5000, 0.8135) x4  2 Cu 2.94
Cu (0.1718, 0.5000, 0.2272) x4  5 Dy 2.84-2.96, 2 Er 2.94

Output
**Formation energy**: -0.122 eV per atom
**Total energy**: -4.57 eV/atom
**Spin magnetization**: 0.00 Bohr magnetons per cell
**D(E_F)**: 1.1879 states/eV per atom



# 18
The following is a DFT calculation (PBE) of a relaxed structure of Dy3ErCu4.

Cell: 3.4568 3.4568 13.8348 Å, 90.00 90.00 90.00°
With the nearest neighbours (Å) after each atom.
Space group P4/mmm (No. 123)
Unique sites:
Dy (0.0000, 0.0000, 0.0000) x1  8 Cu 3.00
Dy (0.0000, 0.0000, 0.2511) x2  8 Cu 3.00-3.01
Er (0.0000, 0.0000, 0.5000) x1  8 Cu 2.97
Cu (0.5000, 0.5000, 0.1251) x2  8 Dy 3.00
Cu (0.5000, 0.5000, 0.3779) x2  4 Er 2.97, 4 Dy 3.01

Output
**Formation energy**: -0.259 eV per atom
**Total energy**: -4.60 eV/atom
**Spin magnetization**: 0.00 Bohr magnetons per cell
**D(E_F)**: 0.6493 states/eV per atom



# 19
The following is a DFT calculation (PBE) of a relaxed structure of Dy2ErCu6.

Cell: 7.3154 7.3154 3.5384 Å, 90.00 90.00 120.00°
With the nearest neighbours (Å) after each atom.
Space group P6/mmm (No. 191)
Unique sites:
Dy (0.3333, 0.6667, 0.0000) x2  12 Cu 3.01
Er (0.0000, 0.0000, 0.0000) x1  12 Cu 3.01
Cu (0.0000, 0.3327, 0.5000) x6  3 Cu 2.43-2.45

Output
**Formation energy**: -0.262 eV per atom
**Total energy**: -4.52 eV/atom
**Spin magnetization**: 0.00 Bohr magnetons per cell
**D(E_F)**: 0.4979 states/eV per atom



# 20
The following is a DFT calculation (PBE) of a relaxed structure of DyEr5Cu4.

Cell: 3.4378 3.4378 18.9037 Å, 90.00 90.00 90.00°
With the nearest neighbours (Å) after each atom.
Space group P4/mmm (No. 123)
Unique sites:
Dy (0.0000, 0.0000, 0.0000) x1  4 Dy 3.44, 8 Er 3.54
Er (0.5000, 0.5000, 0.1363) x2  4 Cu 2.97
Er (0.5000, 0.5000, 0.3172) x2  8 Cu 2.97-2.99
Er (0.5000, 0.5000, 0.5000) x1  8 Cu 2.98
Cu (0.0000, 0.0000, 0.2266) x2  8 Er 2.97
Cu (0.0000, 0.0000, 0.4092) x2  8 Er 2.98-2.99

Output
**Formation energy**: -0.211 eV per atom
**Total energy**: -4.59 eV/atom
**Spin magnetization**: 0.00 Bohr magnetons per cell
**D(E_F)**: 0.7896 states/eV per atom



# 21
The following is a DFT calculation (PBE) of a relaxed structure of Dy4Er3Cu4.

Cell: 4.8113 7.2910 15.0137 Å, 90.00 90.00 90.00°
With the nearest neighbours (Å) after each atom.
Space group Immm (No. 71)
Unique sites:
Dy (0.0000, 0.2202, 0.1721) x8  4 Cu 2.71-2.92
Er (0.0000, 0.0000, 0.3964) x4  1 Er 3.11, 4 Cu 3.11, 4 Dy 3.32
Er (0.0000, 0.5000, 0.5000) x2  2 Cu 3.00
Cu (0.0000, 0.3328, 0.0000) x4  1 Cu 2.44, 2 Dy 2.71
Cu (0.0000, 0.5000, 0.3001) x4  6 Dy 2.80-2.92, 1 Er 3.00

Output
**Formation energy**: -0.076 eV per atom
**Total energy**: -4.48 eV/atom
**Spin magnetization**: 0.00 Bohr magnetons per cell
**D(E_F)**: 0.9267 states/eV per atom



# 22
The following is a DFT calculation (PBE) of a relaxed structure of Dy4ErCu5.

Cell: 3.4427 3.4427 17.4672 Å, 90.00 90.00 90.00°
With the nearest neighbours (Å) after each atom.
Space group P4/mmm (No. 123)
Unique sites:
Dy (0.0000, 0.0000, 0.1003) x2  8 Cu 3.00
Dy (0.0000, 0.0000, 0.3011) x2  8 Cu 3.00-3.01
Er (0.0000, 0.0000, 0.5000) x1  8 Cu 2.97
Cu (0.5000, 0.5000, 0.0000) x1  8 Dy 3.00
Cu (0.5000, 0.5000, 0.2006) x2  8 Dy 3.00
Cu (0.5000, 0.5000, 0.4022) x2  4 Er 2.97, 4 Dy 3.01

Output
**Formation energy**: -0.262 eV per atom
**Total energy**: -4.61 eV/atom
**Spin magnetization**: 0.00 Bohr magnetons per cell
**D(E_F)**: 0.3748 states/eV per atom



# 23
The following is a DFT calculation (PBE) of a relaxed structure of Dy2ErCu.

Cell: 3.6184 3.6184 29.0330 Å, 90.00 90.00 120.00°
With the nearest neighbours (Å) after each atom.
Space group R3m (No. 160, hexagonal axes)
Unique sites:
Dy (0.0000, 0.0000, 0.0000) x3  3 Cu 2.89
Dy (0.0000, 0.0000, 0.1966) x3  3 Cu 2.87
Er (0.0000, 0.0000, 0.4320) x3  6 Dy 3.53-3.55, 6 Er 3.62
Cu (0.0000, 0.0000, 0.5979) x3  6 Dy 2.87-2.89

Output
**Formation energy**: 0.033 eV per atom
**Total energy**: -4.43 eV/atom
**Spin magnetization**: 1.31 Bohr magnetons per cell
**D(E_F)**: 1.2366 states/eV per atom
**Excess energy over the best structure of this formula in the dataset**: 0.143 eV/atom